Entry from Alexandria: CaMn2CdO4 after structural relaxation (GGA+U).

## Properties
DOS(E_F) ... 0.049 states/eV/f.u.
Space group ... I4/mmm, No. 139
Total energy ... -6.485 eV/atom

POSCAR file:
```
CaMn2CdO4
1.0
-4.4943 1.2516 0.3727
-0.9087 -2.0390 -4.1135
1.7707 -3.5992 4.0553
Mn Ca O Cd
2 1 4 1
Direct
0.6869 0.1869 0.5000
0.1869 0.6869 0.5000
0.9371 0.9371 0.0000
0.6882 0.6882 0.5014
0.1869 0.1869 0.4986
0.9371 0.4372 0.0000
0.4372 0.9371 0.0000
0.4370 0.4370 0.0000
```